No. 1
DyEr3Tm5: relaxed, PBE-GGA.

Cell and atoms, written as POSCAR:
```
DyEr3Tm5
1.0
9.218 -0.044 1.549
2.481 8.878 1.549
5.475 4.134 9.096
Tm Er Dy
10 6 2
Cartesian
6.991 5.279 3.610
7.458 2.286 1.549
6.703 8.577 4.130
10.471 4.391 8.063
2.371 1.790 0.899
4.241 6.547 1.549
10.084 4.099 4.130
14.803 11.178 11.294
10.183 7.689 8.583
7.090 8.869 8.063
0.000 0.000 0.000
12.609 9.521 9.557
7.486 5.652 6.832
9.688 7.316 5.361
2.738 2.067 4.548
4.565 3.447 2.636
12.164 9.185 6.269
5.010 3.783 5.924
```

## Properties
crystal system: monoclinic
energy of formation: 0.5359 eV per atom
polymorph energy (0 for the lowest one): 298 meV/atom
SG: C2/m (12)

=====

No. 2
BeTcAs2Se: relaxed, PBE-GGA.

Cell and atoms, written as POSCAR:
```
BeTcAs2Se
1.0
-0.952 4.329 -1.406
-4.046 -1.463 -1.765
-2.422 1.002 4.722
As Tc Se Be
2 1 1 1
Cartesian
-2.023 -0.731 -0.882
-0.476 2.165 -0.703
0.000 0.000 0.000
-1.211 0.501 2.361
-3.710 1.934 0.776
```

## Properties
ΔE_f (raw): 0.862 eV/atom
crystal system: tetragonal
polymorph energy (0 for the lowest one): 33 meV/atom
SG: P4/mmm (123)

=====

No. 3
HoTm6Pd2: relaxed, PBE-GGA.

Cell and atoms, written as POSCAR:
```
HoTm6Pd2
1.0
-2.896 0.522 2.133
-2.789 -7.550 1.157
3.146 -1.676 7.777
Pd Tm Ho
2 6 1
Cartesian
-2.600 -4.430 3.746
0.061 -4.274 7.321
-1.367 -2.408 1.829
-1.171 -6.296 9.238
-1.470 -7.058 5.923
2.108 -2.271 6.513
-4.646 -6.434 4.554
-1.069 -1.646 5.143
0.178 -4.613 4.467
```

## Properties
crystal system: monoclinic
energy of formation: -0.3902 eV per atom
SG: C2/m (12)

=====

Please write out number 1 again, unchanged.
DyEr3Tm5: relaxed, PBE-GGA.

Cell and atoms, written as POSCAR:
```
DyEr3Tm5
1.0
9.218 -0.044 1.549
2.481 8.878 1.549
5.475 4.134 9.096
Tm Er Dy
10 6 2
Cartesian
6.991 5.279 3.610
7.458 2.286 1.549
6.703 8.577 4.130
10.471 4.391 8.063
2.371 1.790 0.899
4.241 6.547 1.549
10.084 4.099 4.130
14.803 11.178 11.294
10.183 7.689 8.583
7.090 8.869 8.063
0.000 0.000 0.000
12.609 9.521 9.557
7.486 5.652 6.832
9.688 7.316 5.361
2.738 2.067 4.548
4.565 3.447 2.636
12.164 9.185 6.269
5.010 3.783 5.924
```

## Properties
crystal system: monoclinic
energy of formation: 0.5359 eV per atom
polymorph energy (0 for the lowest one): 298 meV/atom
SG: C2/m (12)